## ZnNiOs2 (PBE)

Data for ZnNiOs2 after structural relaxation.

Computed properties:
The calculation puts the density of states at the Fermi level at 1.15 states/eV/atom. The value obtained for the energy of formation is 0.07 eV per atom.

Lattice parameters (Å, degrees): 2.7380 2.7380 7.1943 90.00 90.00 90.00
Space group P4mm (No. 99)
Inequivalent atoms, fractional coordinates:
Zn 0.0000 0.0000 0.0000 x1
Ni 0.5000 0.5000 0.2332 x1
Os 0.0000 0.0000 0.4815 x1
Os 0.5000 0.5000 0.7293 x1

---

## Ba2YTe (PBE)

Data for Ba2YTe after structural relaxation.

Computed properties:
The calculation puts the density of states at the Fermi level at 0.97 states/eV/atom. Its uncorrected formation energy is -0.54 eV per atom.

Lattice parameters (Å, degrees): 4.2272 4.2272 9.7161 90.00 90.00 90.00
Space group P4/mmm (No. 123)
Inequivalent atoms, fractional coordinates:
Ba 0.0000 0.0000 0.2079 x2
Y 0.5000 0.5000 0.5000 x1
Te 0.5000 0.5000 0.0000 x1

---

Going through the records in order, we get E values of -7.31; -3.90 eV per atom.